(1)
InGaOsN2 | PBE | optimized geometry

abc: 3.846 5.456 3.846
angles: 90.00 90.00 90.00
Sites, in units of the cell vectors:
N 0.000 0.000 0.500
N 0.500 0.000 0.000
Os 0.000 0.000 0.000
Ga 0.000 0.500 0.000
In 0.500 0.500 0.500

Values from the calculation:
As for the formation energy (no corrections): 553 meV per atom. The space group is P4/mmm.



(2)
YTlNO2 | PBE | optimized geometry

abc: 4.458 4.458 4.789
angles: 90.00 90.00 90.00
Each line ends with the local moment (μB).
Sites, in units of the cell vectors:
Y 0.000 0.000 0.000  -0.04
Tl 0.500 0.500 0.500  0.06
O 0.000 0.500 0.000  0.46
O 0.500 0.000 0.000  0.46
N 0.000 0.000 0.500  1.24

Values from the calculation:
As for the formation energy (no corrections): -694 meV per atom. The space group is P4/mmm.



(3)
ReSb2H | PBE | optimized geometry

abc: 4.588 4.588 4.588
angles: 60.00 60.00 60.00
Sites, in units of the cell vectors:
Re 0.500 0.500 0.500
H 0.000 0.000 0.000
Sb 0.250 0.250 0.250
Sb 0.750 0.750 0.750

Values from the calculation:
The value obtained for the total energy is -5.250 eV per atom. The space group is Fm-3m.



(4)
SnPdSe2 | PBE | optimized geometry

abc: 4.083 4.083 6.983
angles: 73.00 73.00 60.00
Sites, in units of the cell vectors:
Sn 0.426 0.426 0.723
Pd 0.021 0.021 0.937
Se 0.171 0.171 0.486
Se 0.633 0.633 0.101

Values from the calculation:
As for the formation energy (no corrections): -220 meV per atom. The space group is R3m.



(5)
Rb3Cd4Hg2 | PBE | optimized geometry

abc: 5.369 6.909 10.240
angles: 104.84 90.00 112.86
Sites, in units of the cell vectors:
Rb 0.627 0.255 0.689
Rb 0.000 0.000 0.000
Rb 0.373 0.745 0.311
Cd 0.728 0.457 0.064
Cd 0.272 0.543 0.936
Cd 0.898 0.795 0.570
Cd 0.102 0.205 0.430
Hg 0.674 0.347 0.332
Hg 0.326 0.653 0.668

Values from the calculation:
The value obtained for the formation energy is -0.10 eV/atom. The space group is C2/m.